Below is crystalline LaNb3Mo at its relaxed geometry, with properties calculated at the GGA-PBE level.

a b c (Å): 4.956 4.956 4.956
angles (deg): 90.00 90.00 90.00
Fractional positions:
Mo: 0.000 0.000 0.000
Nb: 0.000 0.500 0.000
Nb: 0.000 0.000 0.500
Nb: 0.500 0.000 0.000
La: 0.500 0.500 0.500

E_form = 797 meV/atom
DFT total energy = -41.983 eV/cell
DOS at the Fermi energy = 4.90 states/eV/f.u.